Run P
VASP calculation (GGA-PBE) on crystalline YGaCuOs at its relaxed geometry.

The calculation puts the calculated volume at 17.03 Å³ per atom.

The space group is F-43m (No. 216) and the conventional cell measures 6.4836, 6.4836 and 6.4836 Å, with angles of 90.00, 90.00 and 90.00 degrees. The inequivalent atoms are Y at (0.0000, 0.0000, 0.0000), Ga at (0.0000, 0.0000, 0.5000), Cu at (0.2500, 0.2500, 0.7500) and Os at (0.2500, 0.2500, 0.2500).

***

Run Q
VASP calculation (GGA-PBE) on crystalline YGaCuOs at its relaxed geometry.

The calculation puts the calculated volume at 17.53 Å³ per atom.

The space group is F-43m (No. 216) and the conventional cell measures 6.5459, 6.5459 and 6.5459 Å, with angles of 90.00, 90.00 and 90.00 degrees. The inequivalent atoms are Y at (0.0000, 0.0000, 0.0000), Ga at (0.2500, 0.2500, 0.2500), Cu at (0.0000, 0.0000, 0.5000) and Os at (0.2500, 0.2500, 0.7500).

***

Least stable structure: run Q

***

Run P
VASP calculation (GGA-PBE) on crystalline GaCuPdPb at its relaxed geometry.

The calculation puts the calculated volume at 18.12 Å³ per atom.

The space group is F-43m (No. 216) and the conventional cell measures 6.6179, 6.6179 and 6.6179 Å, with angles of 90.00, 90.00 and 90.00 degrees. The inequivalent atoms are Ga at (0.0000, 0.0000, 0.0000), Cu at (0.2500, 0.2500, 0.2500), Pd at (0.2500, 0.2500, 0.7500) and Pb at (0.0000, 0.0000, 0.5000).

***

Run Q
VASP calculation (GGA-PBE) on crystalline GaCuPdPb at its relaxed geometry.

The calculation puts the calculated volume at 18.17 Å³ per atom.

The space group is F-43m (No. 216) and the conventional cell measures 6.6248, 6.6248 and 6.6248 Å, with angles of 90.00, 90.00 and 90.00 degrees. The inequivalent atoms are Ga at (0.0000, 0.0000, 0.0000), Cu at (0.0000, 0.0000, 0.5000), Pd at (0.2500, 0.2500, 0.2500) and Pb at (0.2500, 0.2500, 0.7500).

***

Least stable structure: run Q

***

Run P
VASP calculation (GGA-PBE) on crystalline PrGaCuSnPd at its relaxed geometry.

The calculation puts the calculated volume at 20.61 Å³ per atom.

The space group is P4/nmm (No. 129, origin choice 2) and the conventional cell measures 4.4148, 4.4148 and 10.5740 Å, with angles of 90.00, 90.00 and 90.00 degrees. The inequivalent atoms are Pr at (0.2500, 0.2500, 0.2289), Ga at (0.2500, 0.2500, 0.8903), Cu at (0.2500, 0.7500, 0.0000), Sn at (0.2500, 0.7500, 0.5000) and Pd at (0.2500, 0.2500, 0.6535).

***

Run Q
VASP calculation (GGA-PBE) on crystalline PrGaCuSnPd at its relaxed geometry.

The calculation puts the calculated volume at 20.48 Å³ per atom.

The space group is P4/nmm (No. 129, origin choice 2) and the conventional cell measures 4.4301, 4.4301 and 10.4337 Å, with angles of 90.00, 90.00 and 90.00 degrees. The inequivalent atoms are Pr at (0.2500, 0.2500, 0.2413), Ga at (0.2500, 0.7500, 0.0000), Cu at (0.2500, 0.2500, 0.8932), Sn at (0.2500, 0.2500, 0.6473) and Pd at (0.2500, 0.7500, 0.5000).

***

Run R
VASP calculation (GGA-PBE) on crystalline PrGaCuSnPd at its relaxed geometry.

The calculation puts the calculated volume at 20.71 Å³ per atom.

The space group is P4/nmm (No. 129, origin choice 2) and the conventional cell measures 4.4481, 4.4481 and 10.4657 Å, with angles of 90.00, 90.00 and 90.00 degrees. The inequivalent atoms are Pr at (0.2500, 0.2500, 0.2492), Ga at (0.2500, 0.7500, 0.0000), Cu at (0.2500, 0.7500, 0.5000), Sn at (0.2500, 0.2500, 0.6343) and Pd at (0.2500, 0.2500, 0.8845).

***

Least stable structure: run P

***

Run P
VASP calculation (GGA-PBE) on crystalline SmGa2CuPd at its relaxed geometry.

The calculation puts the calculated volume at 18.29 Å³ per atom.

The space group is P4/nmm (No. 129, origin choice 2) and the conventional cell measures 4.1962, 4.1962 and 10.3860 Å, with angles of 90.00, 90.00 and 90.00 degrees. The inequivalent atoms are Sm at (0.2500, 0.2500, 0.2428), Ga at (0.2500, 0.2500, 0.6392), Ga at (0.2500, 0.7500, 0.0000), Cu at (0.2500, 0.2500, 0.8713) and Pd at (0.2500, 0.7500, 0.5000).

***

Run Q
VASP calculation (GGA-PBE) on crystalline SmGa2CuPd at its relaxed geometry.

The calculation puts the calculated volume at 18.64 Å³ per atom.

The space group is P4/nmm (No. 129, origin choice 2) and the conventional cell measures 4.3047, 4.3047 and 10.0584 Å, with angles of 90.00, 90.00 and 90.00 degrees. The inequivalent atoms are Sm at (0.2500, 0.2500, 0.2452), Ga at (0.2500, 0.2500, 0.8802), Ga at (0.2500, 0.7500, 0.5000), Cu at (0.2500, 0.7500, 0.0000) and Pd at (0.2500, 0.2500, 0.6345).

***

Least stable structure: run Q

***

Run P
VASP calculation (GGA-PBE) on crystalline ZrGaCuPd at its relaxed geometry.

The calculation puts the calculated volume at 15.86 Å³ per atom.

The space group is F-43m (No. 216) and the conventional cell measures 6.3310, 6.3310 and 6.3310 Å, with angles of 90.00, 90.00 and 90.00 degrees. The inequivalent atoms are Zr at (0.0000, 0.0000, 0.0000), Ga at (0.2500, 0.2500, 0.7500), Cu at (0.2500, 0.2500, 0.2500) and Pd at (0.0000, 0.0000, 0.5000).

***

Run Q
VASP calculation (GGA-PBE) on crystalline ZrGaCuPd at its relaxed geometry.

The calculation puts the calculated volume at 16.03 Å³ per atom.

The space group is F-43m (No. 216) and the conventional cell measures 6.3533, 6.3533 and 6.3533 Å, with angles of 90.00, 90.00 and 90.00 degrees. The inequivalent atoms are Zr at (0.0000, 0.0000, 0.0000), Ga at (0.0000, 0.0000, 0.5000), Cu at (0.2500, 0.2500, 0.2500) and Pd at (0.2500, 0.2500, 0.7500).

***

Least stable structure: run P

***

Run P
VASP calculation (GGA-PBE) on crystalline GaCuSiPt at its relaxed geometry.

The calculation puts the calculated volume at 14.70 Å³ per atom.

The space group is F-43m (No. 216) and the conventional cell measures 6.1729, 6.1729 and 6.1729 Å, with angles of 90.00, 90.00 and 90.00 degrees. The inequivalent atoms are Ga at (0.0000, 0.0000, 0.0000), Cu at (0.2500, 0.2500, 0.2500), Si at (0.2500, 0.2500, 0.7500) and Pt at (0.0000, 0.0000, 0.5000).

***

Run Q
VASP calculation (GGA-PBE) on crystalline GaCuSiPt at its relaxed geometry.

The calculation puts the calculated volume at 14.36 Å³ per atom.

The space group is F-43m (No. 216) and the conventional cell measures 6.1247, 6.1247 and 6.1247 Å, with angles of 90.00, 90.00 and 90.00 degrees. The inequivalent atoms are Ga at (0.0000, 0.0000, 0.0000), Cu at (0.2500, 0.2500, 0.2500), Si at (0.0000, 0.0000, 0.5000) and Pt at (0.2500, 0.2500, 0.7500).

***

Least stable structure: run P

***

Run P
VASP calculation (GGA-PBE) on crystalline SmGa2CuPt at its relaxed geometry.

The calculation puts the calculated volume at 18.00 Å³ per atom.

The space group is P4/nmm (No. 129, origin choice 2) and the conventional cell measures 4.1601, 4.1601 and 10.4005 Å, with angles of 90.00, 90.00 and 90.00 degrees. The inequivalent atoms are Sm at (0.2500, 0.2500, 0.2463), Ga at (0.2500, 0.2500, 0.6426), Ga at (0.2500, 0.7500, 0.0000), Cu at (0.2500, 0.2500, 0.8712) and Pt at (0.2500, 0.7500, 0.5000).

***

Run Q
VASP calculation (GGA-PBE) on crystalline SmGa2CuPt at its relaxed geometry.

The calculation puts the calculated volume at 18.61 Å³ per atom.

The space group is P4/nmm (No. 129, origin choice 2) and the conventional cell measures 4.2602, 4.2602 and 10.2554 Å, with angles of 90.00, 90.00 and 90.00 degrees. The inequivalent atoms are Sm at (0.2500, 0.2500, 0.2469), Ga at (0.2500, 0.2500, 0.8795), Ga at (0.2500, 0.7500, 0.5000), Cu at (0.2500, 0.7500, 0.0000) and Pt at (0.2500, 0.2500, 0.6378).

***

Least stable structure: run P

***

Run P
VASP calculation (GGA-PBE) on crystalline TbGa2CuPt at its relaxed geometry.

The calculation puts the calculated volume at 18.22 Å³ per atom.

The space group is P4/nmm (No. 129, origin choice 2) and the conventional cell measures 4.1717, 4.1717 and 10.4672 Å, with angles of 90.00, 90.00 and 90.00 degrees. The inequivalent atoms are Tb at (0.2500, 0.2500, 0.2463), Ga at (0.2500, 0.2500, 0.8775), Ga at (0.2500, 0.7500, 0.5000), Cu at (0.2500, 0.7500, 0.0000) and Pt at (0.2500, 0.2500, 0.6410).

***

Run Q
VASP calculation (GGA-PBE) on crystalline TbGa2CuPt at its relaxed geometry.

The calculation puts the calculated volume at 17.66 Å³ per atom.

The space group is P4/nmm (No. 129, origin choice 2) and the conventional cell measures 4.1087, 4.1087 and 10.4589 Å, with angles of 90.00, 90.00 and 90.00 degrees. The inequivalent atoms are Tb at (0.2500, 0.2500, 0.2489), Ga at (0.2500, 0.2500, 0.6436), Ga at (0.2500, 0.7500, 0.0000), Cu at (0.2500, 0.2500, 0.8683) and Pt at (0.2500, 0.7500, 0.5000).

***

Least stable structure: run Q

***

Run P
VASP calculation (GGA-PBE) on crystalline GaCuReTc at its relaxed geometry.

The calculation puts the calculated volume at 14.01 Å³ per atom.

The space group is F-43m (No. 216) and the conventional cell measures 6.0748, 6.0748 and 6.0748 Å, with angles of 90.00, 90.00 and 90.00 degrees. The inequivalent atoms are Ga at (0.0000, 0.0000, 0.0000), Cu at (0.2500, 0.2500, 0.2500), Re at (0.0000, 0.0000, 0.5000) and Tc at (0.2500, 0.2500, 0.7500).

***

Run Q
VASP calculation (GGA-PBE) on crystalline GaCuReTc at its relaxed geometry.

The calculation puts the calculated volume at 13.75 Å³ per atom.

The space group is F-43m (No. 216) and the conventional cell measures 6.0363, 6.0363 and 6.0363 Å, with angles of 90.00, 90.00 and 90.00 degrees. The inequivalent atoms are Ga at (0.0000, 0.0000, 0.0000), Cu at (0.0000, 0.0000, 0.5000), Re at (0.2500, 0.2500, 0.7500) and Tc at (0.2500, 0.2500, 0.2500).

***

Least stable structure: run Q

***

Run P
VASP calculation (GGA-PBE) on crystalline ZnGaCuRe at its relaxed geometry.

The calculation puts the calculated volume at 13.95 Å³ per atom.

The space group is F-43m (No. 216) and the conventional cell measures 6.0659, 6.0659 and 6.0659 Å, with angles of 90.00, 90.00 and 90.00 degrees. The inequivalent atoms are Zn at (0.0000, 0.0000, 0.0000), Ga at (0.0000, 0.0000, 0.5000), Cu at (0.2500, 0.2500, 0.7500) and Re at (0.2500, 0.2500, 0.2500).

***

Run Q
VASP calculation (GGA-PBE) on crystalline ZnGaCuRe at its relaxed geometry.

The calculation puts the calculated volume at 13.99 Å³ per atom.

The space group is F-43m (No. 216) and the conventional cell measures 6.0723, 6.0723 and 6.0723 Å, with angles of 90.00, 90.00 and 90.00 degrees. The inequivalent atoms are Zn at (0.0000, 0.0000, 0.0000), Ga at (0.2500, 0.2500, 0.2500), Cu at (0.0000, 0.0000, 0.5000) and Re at (0.2500, 0.2500, 0.7500).

***

Least stable structure: run Q

***

Run P
VASP calculation (GGA-PBE) on crystalline Ga2CuSe4 at its relaxed geometry.

The calculation puts the calculated volume at 22.03 Å³ per atom.

The space group is P4_122 (No. 91) and the conventional cell measures 7.5681, 7.5681 and 10.7690 Å, with angles of 90.00, 90.00 and 90.00 degrees. The inequivalent atoms are Ga at (0.0000, 0.2656, 0.0000), Ga at (0.2477, 0.2477, 0.3750), Cu at (0.2462, 0.5000, 0.7500), Se at (0.0235, 0.2518, 0.7569) and Se at (0.2583, 0.4883, 0.9881).

***

Run Q
VASP calculation (GGA-PBE) on crystalline Ga2CuSe4 at its relaxed geometry.

The calculation puts the calculated volume at 23.66 Å³ per atom.

The space group is I-42m (No. 121) and the conventional cell measures 5.3486, 5.3486 and 11.5770 Å, with angles of 90.00, 90.00 and 90.00 degrees. The inequivalent atoms are Ga at (0.0000, 0.5000, 0.2500), Cu at (0.0000, 0.0000, 0.0000) and Se at (0.2336, 0.2336, 0.3833).

***

Least stable structure: run P

***

Run P
VASP calculation (GGA-PBE) on crystalline TaZnGaCu at its relaxed geometry.

The calculation puts the calculated volume at 15.04 Å³ per atom.

The space group is F-43m (No. 216) and the conventional cell measures 6.2199, 6.2199 and 6.2199 Å, with angles of 90.00, 90.00 and 90.00 degrees. The inequivalent atoms are Ta at (0.0000, 0.0000, 0.0000), Zn at (0.2500, 0.2500, 0.7500), Ga at (0.2500, 0.2500, 0.2500) and Cu at (0.0000, 0.0000, 0.5000).

***

Run Q
VASP calculation (GGA-PBE) on crystalline TaZnGaCu at its relaxed geometry.

The calculation puts the calculated volume at 15.00 Å³ per atom.

The space group is F-43m (No. 216) and the conventional cell measures 6.2139, 6.2139 and 6.2139 Å, with angles of 90.00, 90.00 and 90.00 degrees. The inequivalent atoms are Ta at (0.0000, 0.0000, 0.0000), Zn at (0.2500, 0.2500, 0.2500), Ga at (0.0000, 0.0000, 0.5000) and Cu at (0.2500, 0.2500, 0.7500).

***

Least stable structure: run Q